Record 1
DFT (PBE) results for a relaxed structure of TaRe3C.

The space group is Pm-3m (No. 221) and the conventional cell measures 4.1185, 4.1185 and 4.1185 Å, with angles of 90.00, 90.00 and 90.00 degrees. The inequivalent atoms are Ta at (0.0000, 0.0000, 0.0000), Re at (0.0000, 0.5000, 0.5000) and C at (0.5000, 0.5000, 0.5000).

The value obtained for the formation energy is 21 meV per atom.

***

Record 2
DFT (PBE) results for a relaxed structure of TaRe3C.

The space group is Pm-3m (No. 221) and the conventional cell measures 4.7585, 4.7585 and 4.7585 Å, with angles of 90.00, 90.00 and 90.00 degrees. The inequivalent atoms are Ta at (0.0000, 0.0000, 0.0000), Re at (0.0000, 0.0000, 0.5000) and C at (0.5000, 0.5000, 0.5000).

The value obtained for the formation energy is 3732 meV per atom.

***

Record 3
DFT (PBE) results for a relaxed structure of TaReTc2C.

The space group is P4/mmm (No. 123) and the conventional cell measures 4.1041, 4.1041 and 4.1012 Å, with angles of 90.00, 90.00 and 90.00 degrees. The inequivalent atoms are Ta at (0.0000, 0.0000, 0.0000), Re at (0.5000, 0.5000, 0.0000), Tc at (0.0000, 0.5000, 0.5000) and C at (0.5000, 0.5000, 0.5000).

The value obtained for the formation energy is -85 meV per atom.

***

Record 4
DFT (PBE) results for a relaxed structure of TaRe2TeC.

The space group is P4/mmm (No. 123) and the conventional cell measures 4.9652, 4.9652 and 4.0030 Å, with angles of 90.00, 90.00 and 90.00 degrees. The inequivalent atoms are Ta at (0.0000, 0.0000, 0.0000), Re at (0.0000, 0.5000, 0.0000), Te at (0.5000, 0.5000, 0.5000) and C at (0.0000, 0.0000, 0.5000).

***

Respective N(E_F) values: 3.24 7.36 4.09 5.50 states/eV per cell.
Respective uncorrected energy values: -58.32 -39.76 -54.68 -38.72 eV for the cell shown.